This record from the Alexandria database describes an optimized crystal structure of MnBeInO2. The functional is PBE with a Hubbard U.

- Space group: P4/mmm, No. 123
- Energy: -4.922 eV per atom

a b c (Å): 3.671 4.982 3.671
angles (deg): 90.00 90.00 90.00
Each line ends with the local moment (μB).
Atoms (fractional coordinates):
O: 0.500 0.000 0.000  0.42
In: 0.500 0.500 0.500  -0.11
Be: 0.000 0.000 0.000  -0.02
Mn: 0.000 0.500 0.000  4.23
O: 0.000 0.000 0.500  0.37